5
Lattice="-1.286 -3.173 -3.815 4.529 1.892 -3.100 2.938 -3.663 2.056" Properties=species:S:1:pos:R:3 comment="TlZnCrBr2 | the Alexandria database | PBE | relaxed" n_ef_per_ev_fu=1.980 density_kg_m3=5242 crystal_system=tetragonal vol_a3_per_cell=152.56 total_energy_ev_per_cell=-16.85 space_group="P4/mmm (123)" pbc="T T T"
Br 1.469 -1.832 1.028
Br -0.643 -1.586 -1.908
Tl 2.265 0.946 -1.550
Zn 3.090 -2.472 -2.429
Cr 0.000 0.000 0.000